First-principles (PBE) data for a geometry-optimized LaAl2Ir2 structure, as listed in OQMD via LeMat-Bulk.

Values from the calculation:
DFT total energy = -0.50640 Ry/atom
Magnetic moment = 0.00 μB per formula unit
Offset from the most stable computed form = 33 meV per atom

Cell lengths 6.4284, 6.4284, 6.4284 Å; angles 142.85, 142.85, 53.55 degrees
Fractional coordinates of all 5 atoms:
1 La 0.0000 0.0000 0.0000
2 Al 0.2500 0.7500 0.5000
3 Al 0.7500 0.2500 0.5000
4 Ir 0.3811 0.3811 0.0000
5 Ir 0.6189 0.6189 0.0000